! LiSc2VO6 | the Alexandria database | GGA+U | relaxed; values from VASP
! space group = No. 99
! energy = -7.623 eV/atom
&SYSTEM
  ibrav = 0, nat = 10, ntyp = 4
/
ATOMIC_SPECIES
Li 6.94 Li.upf
Sc 44.96 Sc.upf
V 50.94 V.upf
O 16.00 O.upf
CELL_PARAMETERS angstrom
4.928 0.000 0.000
0.000 4.928 0.000
0.000 0.000 4.858
ATOMIC_POSITIONS crystal
Li 0.000 0.000 0.000
Sc 0.000 0.500 0.425
Sc 0.500 0.000 0.425
V 0.500 0.500 0.041
O 0.000 0.000 0.611
O 0.258 0.258 0.185
O 0.258 0.742 0.185
O 0.500 0.500 0.679
O 0.742 0.258 0.185
O 0.742 0.742 0.185